No. 1
First-principles (PBE) data for crystalline Sc4TlAu2 at its relaxed geometry, as listed in the Alexandria database.

```
7
Lattice="4.573 0.000 0.000 2.287 3.960 0.000 2.287 1.320 9.443" Properties=species:S:1:pos:R:3 pbc="T T T"
Sc 4.573 2.640 1.442
Sc 2.287 1.320 3.750
Sc 6.860 3.960 5.693
Sc 4.573 2.640 8.001
Au 6.860 3.960 2.913
Au 2.287 1.320 6.530
Tl 0.000 0.000 0.000
```

Output
Total magnetization (μB/cell): 0.000
Electronic total energy (eV per atom): -5.23
E above lowest polymorph (kcal/mol of atoms): 3.01
Symmetry: R-3m (166)
Calculated formation energy (eV per atom): -0.334

---

No. 2
First-principles (PBE) data for crystalline Sc12Tl3Au5 at its relaxed geometry, as listed in the Alexandria database.

```
80
Lattice="-10.747 -1.045 -9.197 -5.030 -0.669 13.245 6.667 12.373 -1.906" Properties=species:S:1:pos:R:3 pbc="T T T"
Sc 2.898 9.969 3.538
Sc -13.253 -0.872 4.451
Sc -8.761 8.179 1.156
Sc -4.537 9.764 -8.961
Sc -6.186 10.096 -1.976
Sc -2.561 3.643 -3.852
Sc -4.337 6.442 -4.385
Sc -1.437 10.604 -2.405
Sc -8.019 -0.220 -4.990
Sc -10.426 5.281 1.507
Sc -3.554 8.664 7.675
Sc -6.000 6.768 -8.538
Sc -6.548 7.016 5.994
Sc -5.484 7.161 2.810
Sc -0.348 2.480 0.986
Sc 4.143 11.531 -2.309
Sc -4.772 4.217 6.527
Sc -2.474 6.595 -0.074
Sc -6.144 0.867 -2.426
Sc -1.207 6.643 -3.186
Sc -11.646 2.022 3.872
Sc -3.531 4.499 3.418
Sc -7.672 0.055 4.547
Sc -1.090 10.879 7.132
Sc -4.013 10.234 -4.531
Sc -0.908 7.179 4.088
Sc -9.551 0.926 0.885
Sc -2.923 0.563 4.118
Sc -10.196 2.260 -4.355
Sc 2.536 8.637 -1.730
Sc 1.086 8.399 6.498
Sc 1.317 5.378 0.635
Sc -3.110 3.890 10.680
Sc -6.636 4.063 2.216
Sc -3.586 10.231 0.148
Sc -7.790 4.471 -5.127
Sc -1.319 6.187 7.269
Sc -5.524 0.427 1.994
Sc -4.573 0.895 11.103
Sc -12.008 0.689 -1.396
Sc -8.201 3.480 -1.946
Sc -7.902 4.016 5.329
Sc 0.442 9.732 1.257
Sc -5.097 0.425 6.673
Sc -5.555 1.995 -5.533
Sc -5.579 6.160 -1.275
Sc -3.625 3.497 -0.668
Sc -2.965 9.792 4.568
Tl -8.294 6.364 3.500
Tl -0.815 4.295 -1.358
Tl -8.365 2.095 -6.868
Tl -3.602 8.376 -2.211
Tl -5.507 2.283 4.353
Tl 0.004 10.147 4.311
Tl -9.113 0.512 -2.169
Tl -5.474 3.819 -3.152
Tl -0.744 8.563 9.010
Tl 3.233 10.528 0.494
Tl -12.343 0.130 1.648
Tl -3.635 6.839 5.294
Au -4.655 9.671 2.518
Au -4.454 0.987 -0.376
Au -8.704 3.438 0.666
Au -7.888 -0.857 2.024
Au 0.000 0.000 0.000
Au -5.374 -0.523 -4.599
Au -2.616 4.007 8.069
Au -6.255 0.700 9.052
Au -2.515 -0.335 6.622
Au -6.494 6.651 -5.927
Au -0.406 7.221 1.477
Au 0.819 5.852 5.670
Au 3.334 6.186 -0.953
Au -2.855 9.959 -6.910
Au -7.547 7.947 -1.199
Au -4.555 5.329 1.071
Au 0.342 8.804 -3.223
Au -2.040 5.664 -5.551
Au -1.563 2.712 3.341
Au -9.451 1.854 5.365
```

Output
Total magnetization (μB/cell): 0.000
Electronic total energy (eV per atom): -5.08
Symmetry: Ia-3d (230)
Calculated formation energy (eV per atom): -0.107

---

No. 3
First-principles (PBE) data for crystalline Sc4TlAu at its relaxed geometry, as listed in the Alexandria database.

```
6
Lattice="0.000 4.094 4.094 4.094 0.000 4.094 4.094 4.094 0.000" Properties=species:S:1:pos:R:3 pbc="T T T"
Sc 5.116 3.073 5.116
Sc 5.116 5.116 3.073
Sc 3.073 3.073 3.073
Sc 3.073 5.116 5.116
Au 0.000 0.000 0.000
Tl 6.141 6.141 6.141
```

Output
Total magnetization (μB/cell): 0.001
Electronic total energy (eV per atom): -5.02
E above lowest polymorph (kcal/mol of atoms): 8.25
Symmetry: F-43m (216)
Calculated formation energy (eV per atom): 0.147

---

No. 4
First-principles (PBE) data for crystalline ScTl2Au at its relaxed geometry, as listed in the Alexandria database.

```
4
Lattice="-1.275 4.082 1.483 1.448 -1.055 4.150 3.997 1.607 -0.986" Properties=species:S:1:pos:R:3 pbc="T T T"
Sc 2.723 0.276 1.582
Au 1.361 2.845 0.248
Tl 0.086 1.514 2.816
Tl 0.000 0.000 0.000
```

Output
Total magnetization (μB/cell): 0.000
Electronic total energy (eV per atom): -3.80
Symmetry: P4/mmm (123)
Calculated formation energy (eV per atom): -0.211

---

No. 5
First-principles (PBE) data for crystalline ScTlAu2 at its relaxed geometry, as listed in the Alexandria database.

```
4
Lattice="-2.799 -2.216 0.273 0.524 -1.078 -3.375 3.986 -4.771 2.143" Properties=species:S:1:pos:R:3 pbc="T T T"
Au 0.070 -0.084 0.038
Au -0.106 -2.881 -0.997
Tl 1.915 -5.301 0.091
Sc 1.825 -2.185 0.982
```

Output
Total magnetization (μB/cell): 0.000
Electronic total energy (eV per atom): -4.13
Symmetry: P4mm (99)
Calculated formation energy (eV per atom): -0.322

---

No. 6
First-principles (PBE) data for crystalline Sc3TlAu2 at its relaxed geometry, as listed in the Alexandria database.

```
6
Lattice="-1.714 -0.760 2.877 1.432 -3.121 0.029 8.104 3.772 5.823" Properties=species:S:1:pos:R:3 pbc="T T T"
Sc 0.000 0.000 0.000
Sc 5.561 2.588 3.996
Sc 2.543 1.184 1.827
Au 1.167 -1.332 2.393
Au 6.655 1.223 6.337
Tl 3.911 -0.054 4.365
```

Output
Total magnetization (μB/cell): 0.000
Electronic total energy (eV per atom): -5.28
Symmetry: P4/mmm (123)
Calculated formation energy (eV per atom): -0.629

---

No. 7
First-principles (PBE) data for crystalline Sc4Tl3Au at its relaxed geometry, as listed in the Alexandria database.

```
8
Lattice="-1.365 -2.636 -1.675 -0.732 -1.508 2.969 -13.814 7.044 0.173" Properties=species:S:1:pos:R:3 pbc="T T T"
Sc -8.713 4.443 0.109
Sc -1.497 0.763 0.019
Sc -5.101 2.601 0.064
Sc -12.317 6.281 0.154
Au -1.049 -2.072 0.647
Tl -4.350 -0.388 0.688
Tl -11.561 3.289 0.778
Tl -7.956 1.450 0.733
```

Output
Total magnetization (μB/cell): 0.434
Electronic total energy (eV per atom): -4.86
Symmetry: P4/mmm (123)
Calculated formation energy (eV per atom): -0.400

---

No. 8
First-principles (PBE) data for crystalline ScTl2Au at its relaxed geometry, as listed in the Alexandria database.

```
8
Lattice="-0.650 -0.355 -8.008 5.921 -5.437 -0.239 0.570 -5.157 -3.856" Properties=species:S:1:pos:R:3 pbc="T T T"
Au 0.000 0.000 0.000
Au 1.278 -4.204 -7.994
Tl 0.465 -2.198 -6.145
Tl 3.774 -4.725 -1.968
Tl 2.297 -5.941 -5.980
Tl 5.148 -9.035 -10.112
Sc 2.636 -2.896 -4.124
Sc 4.564 -6.745 -4.109
```

Output
Total magnetization (μB/cell): 0.000
Electronic total energy (eV per atom): -3.65
Symmetry: I-42d (122)
Calculated formation energy (eV per atom): -0.070

---

No. 9
First-principles (PBE) data for crystalline Sc2TlAu2 at its relaxed geometry, as listed in the Alexandria database.

```
5
Lattice="4.690 0.000 0.000 0.000 4.690 0.000 2.345 2.345 5.469" Properties=species:S:1:pos:R:3 pbc="T T T"
Au 4.690 4.690 4.138
Au 2.345 2.345 1.332
Tl 0.000 0.000 0.000
Sc 2.345 4.690 2.735
Sc 4.690 2.345 2.735
```

Output
Total magnetization (μB/cell): 0.000
Electronic total energy (eV per atom): -4.72
Symmetry: I4/mmm (139)
Calculated formation energy (eV per atom): -0.405

---

No. 10
First-principles (PBE) data for crystalline Sc8TlAu2 at its relaxed geometry, as listed in the Alexandria database.

```
11
Lattice="5.017 -0.182 -0.274 -1.099 7.730 -0.417 -1.099 -3.362 6.973" Properties=species:S:1:pos:R:3 pbc="T T T"
Sc 0.186 2.556 3.836
Sc 1.409 5.098 1.139
Sc 2.788 1.986 5.794
Sc 0.030 -0.396 2.218
Sc 2.788 4.582 4.065
Sc 0.030 2.200 0.489
Sc 2.632 1.630 2.447
Sc 1.409 -0.912 5.144
Tl 2.508 -0.091 -0.137
Au -1.099 -0.002 4.735
Au -1.099 4.370 1.822
```

Output
Total magnetization (μB/cell): 0.027
Electronic total energy (eV per atom): -5.71
Symmetry: C2/m (12)
Calculated formation energy (eV per atom): -0.291

---

No. 11
First-principles (PBE) data for crystalline ScTl2Au at its relaxed geometry, as listed in the Alexandria database.

```
4
Lattice="5.864 0.094 0.000 2.552 5.281 0.000 -4.208 -2.687 3.077" Properties=species:S:1:pos:R:3 pbc="T T T"
Tl 0.000 0.000 0.000
Tl 4.208 2.687 0.000
Sc 2.932 0.047 1.539
Au 1.276 2.640 1.539
```

Output
Total magnetization (μB/cell): 0.000
Electronic total energy (eV per atom): -3.69
Symmetry: I4/mmm (139)
Calculated formation energy (eV per atom): -0.100

---

No. 12
First-principles (PBE) data for crystalline Sc5Tl4Au at its relaxed geometry, as listed in the Alexandria database.

```
10
Lattice="3.415 0.000 0.000 0.000 3.415 0.000 0.000 0.000 19.472" Properties=species:S:1:pos:R:3 pbc="T T T"
Au 0.000 0.000 0.000
Sc 1.707 1.707 13.774
Sc 1.707 1.707 9.736
Sc 1.707 1.707 5.698
Sc 1.707 1.707 1.678
Sc 1.707 1.707 17.794
Tl 0.000 0.000 15.781
Tl 0.000 0.000 7.717
Tl 0.000 0.000 3.691
Tl 0.000 0.000 11.755
```

Output
Total magnetization (μB/cell): 0.863
Electronic total energy (eV per atom): -4.82
Symmetry: P4/mmm (123)
Calculated formation energy (eV per atom): -0.378

---

No. 13
First-principles (PBE) data for crystalline Sc3Tl2Au at its relaxed geometry, as listed in the Alexandria database.

```
6
Lattice="-0.899 1.291 3.011 -3.181 -1.092 -0.482 2.665 -10.013 5.090" Properties=species:S:1:pos:R:3 pbc="T T T"
Sc 1.723 -6.474 3.291
Sc 0.942 -3.539 1.799
Sc 0.000 0.000 0.000
Tl -1.570 -1.668 2.163
Tl 0.155 -8.145 5.456
Au -0.708 -4.907 3.810
```

Output
Total magnetization (μB/cell): 0.176
Electronic total energy (eV per atom): -4.95
Symmetry: P4/mmm (123)
Calculated formation energy (eV per atom): -0.450

---

No. 14
First-principles (PBE) data for crystalline Sc2Tl2Au at its relaxed geometry, as listed in the Alexandria database.

```
5
Lattice="3.336 0.000 0.000 0.000 3.341 0.633 0.000 -0.269 10.553" Properties=species:S:1:pos:R:3 pbc="T T T"
Sc 1.668 1.351 2.002
Sc 1.668 1.720 9.184
Au 0.000 0.000 0.000
Tl 0.000 2.627 4.400
Tl 0.000 0.445 6.785
```

Output
Total magnetization (μB/cell): 0.001
Electronic total energy (eV per atom): -4.47
E above lowest polymorph (kcal/mol of atoms): 0.00
Symmetry: Cmmm (65)
Calculated formation energy (eV per atom): -0.332

---

No. 15
First-principles (PBE) data for crystalline ScTlAu2 at its relaxed geometry, as listed in the Alexandria database.

```
8
Lattice="7.794 0.000 0.000 0.000 7.794 0.000 3.897 3.897 3.043" Properties=species:S:1:pos:R:3 pbc="T T T"
Tl 0.000 0.000 0.000
Tl 7.794 3.897 1.522
Sc 3.897 7.794 1.522
Sc 3.897 3.897 0.000
Au 9.742 9.584 2.282
Au 5.845 6.003 2.282
Au 2.106 5.845 0.761
Au 5.687 1.948 0.761
```

Output
Total magnetization (μB/cell): 0.000
Electronic total energy (eV per atom): -4.01
Symmetry: I-42d (122)
Calculated formation energy (eV per atom): -0.193

---

No. 16
First-principles (PBE) data for crystalline Sc2TlAu2 at its relaxed geometry, as listed in the Alexandria database.

```
5
Lattice="4.159 0.000 0.000 0.000 4.159 0.000 2.080 2.080 6.857" Properties=species:S:1:pos:R:3 pbc="T T T"
Sc 4.159 4.159 5.276
Sc 2.080 2.080 1.581
Au 4.159 2.080 3.429
Au 2.080 4.159 3.429
Tl 0.000 0.000 0.000
```

Output
Total magnetization (μB/cell): 0.000
Electronic total energy (eV per atom): -4.59
Symmetry: I4/mmm (139)
Calculated formation energy (eV per atom): -0.275

---

No. 17
First-principles (PBE) data for crystalline ScTl2Au at its relaxed geometry, as listed in the Alexandria database.

```
4
Lattice="3.528 0.000 0.000 0.000 3.528 0.000 0.000 0.000 7.856" Properties=species:S:1:pos:R:3 pbc="T T T"
Tl 1.764 1.764 2.169
Tl 0.000 0.000 7.663
Sc 1.764 1.764 5.586
Au 0.000 0.000 4.222
```

Output
Total magnetization (μB/cell): 0.000
Electronic total energy (eV per atom): -3.84
Symmetry: P4mm (99)
Calculated formation energy (eV per atom): -0.258

---

No. 18
First-principles (PBE) data for crystalline ScTlAu2 at its relaxed geometry, as listed in the Alexandria database.

```
4
Lattice="4.629 0.000 0.000 0.000 4.630 0.000 0.000 0.000 3.885" Properties=species:S:1:pos:R:3 pbc="T T T"
Au 2.315 2.315 0.000
Au 0.000 0.000 0.000
Tl 0.000 2.315 1.943
Sc 2.315 0.000 1.943
```

Output
Total magnetization (μB/cell): 0.000
Electronic total energy (eV per atom): -4.16
Symmetry: P4/mmm (123)
Calculated formation energy (eV per atom): -0.352

---

No. 19
First-principles (PBE) data for crystalline ScTlAu2 at its relaxed geometry, as listed in the Alexandria database.

```
4
Lattice="-7.887 -1.016 0.293 -6.525 -4.149 1.879 -6.855 -0.998 3.916" Properties=species:S:1:pos:R:3 pbc="T T T"
Tl -15.950 -4.622 4.566
Au -21.113 -6.119 6.044
Au -10.787 -3.126 3.088
Sc -5.317 -1.541 1.522
```

Output
Total magnetization (μB/cell): 0.000
Electronic total energy (eV per atom): -4.17
Symmetry: R-3m (166)
Calculated formation energy (eV per atom): -0.361

---

No. 20
First-principles (PBE) data for crystalline ScTlAu3 at its relaxed geometry, as listed in the Alexandria database.

```
5
Lattice="5.251 0.000 0.000 0.000 5.251 0.000 0.000 0.000 5.251" Properties=species:S:1:pos:R:3 pbc="T T T"
Tl 2.626 2.626 2.626
Au 0.000 0.000 2.626
Au 0.000 2.626 0.000
Au 2.626 0.000 0.000
Sc 0.000 0.000 0.000
```

Output
Total magnetization (μB/cell): 0.000
Electronic total energy (eV per atom): -3.56
E above lowest polymorph (kcal/mol of atoms): 0.00
Symmetry: Pm-3m (221)
Calculated formation energy (eV per atom): 0.149